Entry 1:
DFT (SCAN) results for LiTiAs2 at its PBEsol-relaxed geometry.

POSCAR file:
```
LiTiAs2
1.0
0.0000 3.1769 3.1769
3.1769 0.0000 3.1769
3.1769 3.1769 0.0000
Li Ti As
1 1 2
Direct
0.0000 0.0000 0.0000
0.5000 0.5000 0.5000
0.2500 0.2500 0.2500
0.7500 0.7500 0.7500
```

## Properties
Calculated formation energy = -0.460 eV per atom

---

Entry 2:
DFT (SCAN) results for LiTl2As2 at its PBEsol-relaxed geometry.

POSCAR file:
```
LiTl2As2
1.0
6.8444 0.0000 0.0000
0.0000 6.8444 0.0000
0.0000 0.0000 4.9855
Li Tl As
2 4 4
Direct
0.0000 0.0000 0.0000
0.5000 0.5000 0.0000
0.1833 0.3167 0.5000
0.3167 0.8167 0.5000
0.6833 0.1833 0.5000
0.8167 0.6833 0.5000
0.1252 0.6252 0.0000
0.3748 0.1252 0.0000
0.6252 0.8748 0.0000
0.8748 0.3748 0.0000
```

## Properties
Calculated formation energy = -0.112 eV per atom

---

Entry 3:
DFT (SCAN) results for Li2TlAs at its PBEsol-relaxed geometry.

POSCAR file:
```
Li2TlAs
1.0
-2.0573 2.0573 4.3937
2.0573 -2.0573 4.3937
2.0573 2.0573 -4.3937
Li Tl As
2 1 1
Direct
0.0000 0.0000 0.0000
0.7500 0.2500 0.5000
0.5000 0.5000 0.0000
0.2500 0.7500 0.5000
```

## Properties
Calculated formation energy = -0.366 eV per atom

---

Entry 4:
DFT (SCAN) results for Li2TlAs at its PBEsol-relaxed geometry.

POSCAR file:
```
Li2TlAs
1.0
3.2955 0.0000 0.0000
0.0000 4.6470 0.0000
0.0000 0.0000 4.6845
Li Tl As
2 1 1
Direct
0.0000 0.0000 0.0000
0.0000 0.5000 0.4397
0.5000 0.5000 0.9390
0.5000 0.0000 0.4910
```

## Properties
Calculated formation energy = -0.383 eV per atom

---

Entry 5:
DFT (SCAN) results for Li2TlAs at its PBEsol-relaxed geometry.

POSCAR file:
```
Li2TlAs
1.0
4.1018 -1.5581 0.0000
4.1018 1.5581 0.0000
-0.9525 0.0000 6.0671
Li Tl As
2 1 1
Direct
0.2363 0.2363 0.1860
0.7637 0.7637 0.8140
0.0000 0.0000 0.5000
0.5000 0.5000 0.0000
```

## Properties
Calculated formation energy = -0.386 eV per atom

---

Entry 6:
DFT (SCAN) results for Li2Tl2As at its PBEsol-relaxed geometry.

POSCAR file:
```
Li2Tl2As
1.0
6.6814 0.0000 0.0000
0.0000 6.6814 0.0000
0.0000 0.0000 4.7628
Li Tl As
4 4 2
Direct
0.1579 0.3421 0.0000
0.3421 0.8421 0.0000
0.6579 0.1579 0.0000
0.8421 0.6579 0.0000
0.1733 0.6733 0.5000
0.3267 0.1733 0.5000
0.6733 0.8267 0.5000
0.8267 0.3267 0.5000
0.0000 0.0000 0.0000
0.5000 0.5000 0.0000
```

## Properties
Calculated formation energy = -0.265 eV per atom

---

Entry 7:
DFT (SCAN) results for Li2TlAs at its PBEsol-relaxed geometry.

POSCAR file:
```
Li2TlAs
1.0
3.2203 0.0000 0.0000
0.0000 3.2203 0.0000
0.0000 0.0000 7.0359
Li Tl As
2 1 1
Direct
0.0000 0.0000 0.2027
0.0000 0.0000 0.7973
0.5000 0.5000 0.5000
0.5000 0.5000 0.0000
```

## Properties
Calculated formation energy = -0.379 eV per atom

---

Entry 8:
DFT (SCAN) results for Li3TlAs at its PBEsol-relaxed geometry.

POSCAR file:
```
Li3TlAs
1.0
4.7913 0.0000 0.0000
0.0000 4.7913 0.0000
0.0000 0.0000 4.7913
Li Tl As
3 1 1
Direct
0.0000 0.0000 0.5000
0.0000 0.5000 0.0000
0.5000 0.0000 0.0000
0.5000 0.5000 0.5000
0.0000 0.0000 0.0000
```

## Properties
Calculated formation energy = -0.376 eV per atom

---

Entry 9:
DFT (SCAN) results for LiZr2TlAs at its PBEsol-relaxed geometry.

POSCAR file:
```
LiZr2TlAs
1.0
5.3048 0.0000 0.0000
0.0000 5.3048 0.0000
0.0000 0.0000 4.4242
Li Zr Tl As
1 2 1 1
Direct
0.0000 0.0000 0.0000
0.0000 0.5000 0.5000
0.5000 0.0000 0.5000
0.0000 0.0000 0.5000
0.5000 0.5000 0.0000
```

## Properties
Calculated formation energy = 0.524 eV per atom

---

Entry 10:
DFT (SCAN) results for LiAsW2 at its PBEsol-relaxed geometry.

POSCAR file:
```
LiAsW2
1.0
-1.6928 2.1235 3.9749
1.6928 -2.1235 3.9749
1.6928 2.1235 -3.9749
Li As W
1 1 2
Direct
0.0000 0.0000 0.0000
0.7700 0.2700 0.5000
0.2611 0.7611 0.5000
0.5142 0.5142 0.0000
```

## Properties
Calculated formation energy = 0.340 eV per atom

---

Entry 11:
DFT (SCAN) results for LiAsW2 at its PBEsol-relaxed geometry.

POSCAR file:
```
LiAsW2
1.0
1.5409 -2.2772 0.0000
1.5409 2.2772 0.0000
0.0000 0.0000 8.8893
Li As W
1 1 2
Direct
0.0000 0.0000 0.0000
0.0000 0.0000 0.5000
0.5000 0.5000 0.2656
0.5000 0.5000 0.7344
```

## Properties
Calculated formation energy = 0.654 eV per atom

---

Entry 12:
DFT (SCAN) results for LiAsW2 at its PBEsol-relaxed geometry.

POSCAR file:
```
LiAsW2
1.0
3.2354 0.0000 0.0000
0.0000 3.2354 0.0000
0.0000 0.0000 5.5593
Li As W
1 1 2
Direct
0.0000 0.0000 0.0000
0.5000 0.5000 0.7745
0.0000 0.0000 0.5024
0.5000 0.5000 0.2606
```

## Properties
Calculated formation energy = 0.158 eV per atom

---

Entry 13:
DFT (SCAN) results for LiZnAs2W at its PBEsol-relaxed geometry.

POSCAR file:
```
LiZnAs2W
1.0
4.2212 0.0000 0.0000
0.0000 4.2212 0.0000
0.0000 0.0000 4.5050
Li Zn As W
1 1 2 1
Direct
0.0000 0.0000 0.0000
0.5000 0.5000 0.5000
0.0000 0.5000 0.0000
0.5000 0.0000 0.0000
0.0000 0.0000 0.5000
```

## Properties
Calculated formation energy = 1.174 eV per atom

---

Entry 14:
DFT (SCAN) results for LiYAs at its PBEsol-relaxed geometry.

POSCAR file:
```
LiYAs
1.0
4.0999 0.0000 0.0000
-2.0500 3.5507 0.0000
0.0000 0.0000 3.8915
Li Y As
1 1 1
Direct
0.0000 0.0000 0.0000
0.3333 0.6667 0.5000
0.6667 0.3333 0.0000
```

## Properties
Calculated formation energy = -1.110 eV per atom

---

Entry 15:
DFT (SCAN) results for Li2YAs at its PBEsol-relaxed geometry.

POSCAR file:
```
Li2YAs
1.0
-2.2434 2.4282 3.3846
2.2434 -2.4282 3.3846
2.2434 2.4282 -3.3846
Li Y As
2 1 1
Direct
0.0000 0.0000 0.0000
0.7476 0.2476 0.5000
0.2713 0.7713 0.5000
0.5372 0.5372 0.0000
```

## Properties
Calculated formation energy = -0.533 eV per atom